# Er3Fe2Ge3 | Alexandria via LeMat-Bulk | PBE | optimized geometry
# energy of formation = -0.625 eV/atom
# final energy = -6.183 eV/atom
data_Er3Fe2Ge3
_chemical_formula_sum 'Er12 Fe8 Ge12'
_symmetry_space_group_name_H-M 'C m c m'
_symmetry_Int_Tables_number 63
_symmetry_space_group_name_Hall '-C 2c 2'
_cell_length_a 4.138
_cell_length_b 10.562
_cell_length_c 13.688
_cell_angle_alpha 90.00
_cell_angle_beta 90.00
_cell_angle_gamma 90.00
loop_
_atom_site_label
_atom_site_type_symbol
_atom_site_fract_x
_atom_site_fract_y
_atom_site_fract_z
Er1 Er 0.000 0.081 0.111
Er2 Er 0.000 0.360 0.250
Fe1 Fe 0.000 0.215 0.583
Ge1 Ge 0.000 0.331 0.750
Ge2 Ge 0.000 0.378 0.041